Run a
DFT (GGA-PBE) results for an optimized crystal structure of Na3TaSn.

Symmetry ... Pm-3m (221)
Total magnetization ... 3.1 μB per cell

Lattice parameters (Å, degrees): 5.6748 5.6748 5.6748 90.00 90.00 90.00
Last column: nearest neighbours and their distance in Å.
Fractional coordinates of all 5 atoms:
Na (0.0000, 0.5000, 0.0000)  2 Sn 2.84
Na (0.0000, 0.0000, 0.5000)  2 Sn 2.84
Na (0.5000, 0.0000, 0.0000)  2 Sn 2.84
Sn (0.0000, 0.0000, 0.0000)  6 Na 2.84
Ta (0.5000, 0.5000, 0.5000)  12 Na 4.01

---

Run b
DFT (GGA-PBE) results for an optimized crystal structure of Na3TaSn.

Symmetry ... Pm-3m (221)
Total magnetization ... 3.9 μB per cell

Lattice parameters (Å, degrees): 5.7590 5.7590 5.7590 90.00 90.00 90.00
Last column: nearest neighbours and their distance in Å.
Fractional coordinates of all 5 atoms:
Na (0.0000, 0.5000, 0.0000)  2 Ta 2.88
Na (0.0000, 0.0000, 0.5000)  2 Ta 2.88
Na (0.5000, 0.0000, 0.0000)  2 Ta 2.88
Sn (0.5000, 0.5000, 0.5000)  12 Na 4.07
Ta (0.0000, 0.0000, 0.0000)  6 Na 2.88

---

Calculated relative energies: run a 0.0; run b 14.3, given in kJ/mol of atoms

---

Run a
DFT (GGA-PBE) results for an optimized crystal structure of NaTcSn2.

Symmetry ... I-42d (122)
Total magnetization ... 0.0 μB per cell

Lattice parameters (Å, degrees): 5.9653 5.9653 9.0674 70.80 70.80 90.00
Last column: nearest neighbours and their distance in Å.
Fractional coordinates of all 8 atoms:
Na (0.5000, 0.5000, 0.0000)  4 Sn 3.51
Na (0.2500, 0.7500, 0.5000)  4 Sn 3.51
Sn (0.7885, 0.1250, 0.2500)  2 Tc 2.55
Sn (0.9615, 0.6250, 0.2500)  2 Tc 2.55
Sn (0.3750, 0.2115, 0.7500)  2 Tc 2.55
Sn (0.8750, 0.0385, 0.7500)  2 Tc 2.55
Tc (0.0000, 0.0000, 0.0000)  4 Sn 2.55
Tc (0.7500, 0.2500, 0.5000)  4 Sn 2.55

---

Run b
DFT (GGA-PBE) results for an optimized crystal structure of NaTcSn2.

Symmetry ... P4/mmm (123)
Total magnetization ... 0.0 μB per cell

Lattice parameters (Å, degrees): 3.3034 3.3034 8.1500 90.00 90.00 90.00
Last column: nearest neighbours and their distance in Å.
Fractional coordinates of all 4 atoms:
Na (0.5000, 0.5000, 0.5000)  4 Na 3.30, 8 Sn 3.40
Sn (0.0000, 0.0000, 0.8033)  4 Tc 2.83
Sn (0.0000, 0.0000, 0.1967)  4 Tc 2.83
Tc (0.5000, 0.5000, 0.0000)  8 Sn 2.83

---

Run c
DFT (GGA-PBE) results for an optimized crystal structure of NaTcSn2.

Symmetry ... Fm-3m (225)
Total magnetization ... 0.0 μB per cell

Lattice parameters (Å, degrees): 4.8019 4.8019 4.8019 60.00 60.00 60.00
Last column: nearest neighbours and their distance in Å.
Fractional coordinates of all 4 atoms:
Na (0.0000, 0.0000, 0.0000)  8 Sn 2.94
Sn (0.2500, 0.2500, 0.2500)  4 Tc 2.94, 4 Na 2.94
Sn (0.7500, 0.7500, 0.7500)  4 Na 2.94, 4 Tc 2.94
Tc (0.5000, 0.5000, 0.5000)  8 Sn 2.94

---

Calculated relative energies: run a 50.7; run b 0.0; run c 23.5, given in kJ/mol of atoms

---

Run a
DFT (GGA-PBE) results for an optimized crystal structure of Na3TcSn.

Symmetry ... Pm-3m (221)
Total magnetization ... 5.2 μB per cell

Lattice parameters (Å, degrees): 5.7948 5.7948 5.7948 90.00 90.00 90.00
Last column: nearest neighbours and their distance in Å.
Fractional coordinates of all 5 atoms:
Na (0.0000, 0.5000, 0.0000)  2 Sn 2.90
Na (0.0000, 0.0000, 0.5000)  2 Sn 2.90
Na (0.5000, 0.0000, 0.0000)  2 Sn 2.90
Sn (0.0000, 0.0000, 0.0000)  6 Na 2.90
Tc (0.5000, 0.5000, 0.5000)  12 Na 4.10

---

Run b
DFT (GGA-PBE) results for an optimized crystal structure of Na3TcSn.

Symmetry ... Pm-3m (221)
Total magnetization ... 3.2 μB per cell

Lattice parameters (Å, degrees): 5.5407 5.5407 5.5407 90.00 90.00 90.00
Last column: nearest neighbours and their distance in Å.
Fractional coordinates of all 5 atoms:
Na (0.0000, 0.5000, 0.0000)  2 Tc 2.77
Na (0.0000, 0.0000, 0.5000)  2 Tc 2.77
Na (0.5000, 0.0000, 0.0000)  2 Tc 2.77
Sn (0.5000, 0.5000, 0.5000)  12 Na 3.92
Tc (0.0000, 0.0000, 0.0000)  6 Na 2.77

---

Calculated relative energies: run a 0.0; run b 4.3, given in kJ/mol of atoms